K2BeCo (PBE-GGA, optimized geometry); DFT formation energy = 13.64 kcal/mol of atoms; electronic total energy = -2.67 eV per atom; SG = P4mm (99)
1.0
3.1634 0.0000 0.0000
0.0000 3.1634 0.0000
0.0000 0.0000 9.8052
K Be Co
2 1 1
Direct
0.0000 0.0000 0.0000 K
0.5000 0.5000 0.4318 K
0.0000 0.0000 0.7009 Be
0.5000 0.5000 0.7288 Co

CsZnPS4 (PBE-GGA, optimized geometry); electronic total energy = -4.13 eV per atom; SG = P2_1/m (11)
1.0
5.9432 0.0000 0.0000
0.0000 7.8007 0.0000
-2.5897 0.0000 9.3167
Cs Zn P S
2 2 2 8
Direct
0.1832 0.2500 0.3612 Cs
0.8168 0.7500 0.6388 Cs
0.3832 0.7500 0.2032 Zn
0.6168 0.2500 0.7968 Zn
0.1133 0.2500 0.7829 P
0.8867 0.7500 0.2171 P
0.0172 0.7500 0.0407 S
0.1829 0.7500 0.3902 S
0.3224 0.0405 0.7764 S
0.3224 0.4595 0.7764 S
0.6776 0.5405 0.2236 S
0.6776 0.9595 0.2236 S
0.8171 0.2500 0.6098 S
0.9828 0.2500 0.9593 S

Ac6Bi2Sb3I (PBE-GGA, optimized geometry); electronic total energy = -5.00 eV per atom; SG = C2/m (12)
1.0
10.5247 -2.4111 0.0000
10.5247 2.4111 0.0000
-2.2604 0.0000 9.3929
Ac Bi Sb I
6 2 3 1
Direct
0.0008 0.0008 0.2310 Ac
0.3261 0.3261 0.4165 Ac
0.3338 0.3338 0.9147 Ac
0.6662 0.6662 0.0853 Ac
0.6739 0.6739 0.5835 Ac
0.9992 0.9992 0.7690 Ac
0.1651 0.1651 0.8291 Bi
0.8349 0.8349 0.1709 Bi
0.1637 0.1637 0.3339 Sb
0.5000 0.5000 0.0000 Sb
0.8363 0.8363 0.6661 Sb
0.5000 0.5000 0.5000 I

GaSn3Hg3 (PBE-GGA, optimized geometry); DFT formation energy = 9.11 kcal/mol of atoms; electronic total energy = -1.88 eV per atom; SG = Pm-3n (223)
1.0
8.0199 0.0000 0.0000
0.0000 8.0199 0.0000
0.0000 0.0000 8.0199
Ga Sn Hg
2 6 6
Direct
0.0000 0.0000 0.0000 Ga
0.5000 0.5000 0.5000 Ga
0.0000 0.2500 0.5000 Sn
0.0000 0.7500 0.5000 Sn
0.2500 0.5000 0.0000 Sn
0.5000 0.0000 0.2500 Sn
0.5000 0.0000 0.7500 Sn
0.7500 0.5000 0.0000 Sn
0.0000 0.5000 0.2500 Hg
0.0000 0.5000 0.7500 Hg
0.2500 0.0000 0.5000 Hg
0.5000 0.2500 0.0000 Hg
0.5000 0.7500 0.0000 Hg
0.7500 0.0000 0.5000 Hg

Ce2FePt (PBE-GGA, optimized geometry); DFT formation energy = -9.57 kcal/mol of atoms; electronic total energy = -7.01 eV per atom; SG = P4/mmm (123)
1.0
3.4709 0.0000 0.0000
0.0000 3.4709 0.0000
0.0000 0.0000 6.9517
Ce Fe Pt
2 1 1
Direct
0.0000 0.0000 0.2351 Ce
0.0000 0.0000 0.7649 Ce
0.5000 0.5000 0.0000 Fe
0.5000 0.5000 0.5000 Pt

MoPb2Cl (PBE-GGA, optimized geometry); electronic total energy = -4.45 eV per atom; energy above the lowest structure with this stoichiometry = 0.343 eV/atom; SG = I-4m2 (119)
1.0
-2.0674 2.0674 6.2765
2.0674 -2.0674 6.2765
2.0674 2.0674 -6.2765
Mo Pb Cl
1 2 1
Direct
0.0000 0.0000 0.0000 Mo
0.2500 0.7500 0.5000 Pb
0.5000 0.5000 0.0000 Pb
0.7500 0.2500 0.5000 Cl

GdHoMgTc (PBE-GGA, optimized geometry); DFT formation energy = -0.11 kcal/mol of atoms; electronic total energy = -7.66 eV per atom; SG = F-43m (216)
1.0
0.0000 3.5630 3.5630
3.5630 0.0000 3.5630
3.5630 3.5630 0.0000
Gd Ho Mg Tc
1 1 1 1
Direct
0.0000 0.0000 0.0000 Gd
0.5000 0.5000 0.5000 Ho
0.7500 0.7500 0.7500 Mg
0.2500 0.2500 0.2500 Tc

Y2HoZn (PBE-GGA, optimized geometry); DFT formation energy = 0.16 kcal/mol of atoms; electronic total energy = -4.69 eV per atom; energy above the lowest structure with this stoichiometry = 0.169 eV/atom; SG = P4/mmm (123)
1.0
5.2714 0.0000 0.0000
0.0000 5.2714 0.0000
0.0000 0.0000 3.9182
Y Ho Zn
2 1 1
Direct
0.0000 0.5000 0.0000 Y
0.5000 0.0000 0.0000 Y
0.0000 0.0000 0.5000 Ho
0.5000 0.5000 0.5000 Zn

ZnSiPb2 (PBE-GGA, optimized geometry); electronic total energy = -3.18 eV per atom; energy above the lowest structure with this stoichiometry = 0.126 eV/atom; SG = P2/m (10)
1.0
3.3726 0.0000 0.0000
0.0000 3.8948 0.0000
-0.0509 0.0000 7.4399
Zn Si Pb
1 1 2
Direct
0.0000 0.0000 0.0000 Zn
0.0000 0.0000 0.5000 Si
0.4994 0.5000 0.7408 Pb
0.5006 0.5000 0.2592 Pb

Cr2FeTc (PBE-GGA, optimized geometry); DFT formation energy = 2.35 kcal/mol of atoms; electronic total energy = -9.42 eV per atom; energy above the lowest structure with this stoichiometry = 0.003 eV/atom; SG = Imm2 (44)
1.0
-1.4763 2.0555 4.0692
1.4763 -2.0555 4.0692
1.4763 2.0555 -4.0692
Cr Fe Tc
2 1 1
Direct
0.0000 0.0000 0.0000 Cr
0.7686 0.2686 0.5000 Cr
0.2520 0.7520 0.5000 Fe
0.5163 0.5163 0.0000 Tc

ZnInIr2 (PBE-GGA, optimized geometry); DFT formation energy = 2.32 kcal/mol of atoms; electronic total energy = -5.33 eV per atom; SG = Pmmm (47)
1.0
2.9460 0.0000 0.0000
0.0000 4.4640 0.0000
0.0000 0.0000 4.8973
Zn In Ir
1 1 2
Direct
0.0000 0.0000 0.0000 Zn
0.5000 0.0000 0.5000 In
0.0000 0.5000 0.5000 Ir
0.5000 0.5000 0.0000 Ir

Ce2TiS5 (PBE-GGA, optimized geometry); electronic total energy = -6.67 eV per atom; energy above the lowest structure with this stoichiometry = 0.124 eV/atom; SG = Cmcm (63)
1.0
2.6336 -6.6464 0.0000
2.6336 6.6464 0.0000
0.0000 0.0000 12.4804
Ce Ti S
4 2 10
Direct
0.1451 0.8549 0.5679 Ce
0.1451 0.8549 0.9321 Ce
0.8549 0.1451 0.0679 Ce
0.8549 0.1451 0.4321 Ce
0.1899 0.8101 0.2500 Ti
0.8101 0.1899 0.7500 Ti
0.0514 0.9486 0.1258 S
0.0514 0.9486 0.3742 S
0.2744 0.7256 0.7500 S
0.3030 0.6970 0.0883 S
0.3030 0.6970 0.4117 S
0.6970 0.3030 0.5883 S
0.6970 0.3030 0.9117 S
0.7256 0.2744 0.2500 S
0.9486 0.0514 0.6258 S
0.9486 0.0514 0.8742 S